No. 1
# TaTc2Br

A crystal of TaTc2Br relaxed with PBEsol (meta-GGA SCAN, Alexandria).

Cell: 2.9135 2.9135 8.9204 Å, 80.60 80.60 60.00°
With the nearest neighbours (Å) after each atom.
Fractional positions:
Tc1 0.0042 0.0042 0.9874  3 Tc 2.57
Tc2 0.7445 0.7445 0.7664  3 Tc 2.57
Br1 0.5029 0.5029 0.4914  3 Ta 2.67, 6 Br 2.91, 3 Tc 2.94
Ta1 0.2484 0.2484 0.2549  3 Br 2.67, 3 Tc 2.88, 6 Ta 2.91

Values from the calculation:
energy above the most stable polymorph in this dataset: 0 meV/atom
formation energy without anion corrections: 0.370 eV per atom
SG: R3m, No. 160
total moment: 0.00 Bohr magnetons per cell
crystal system: trigonal
calculated density: 11.78 g/cm³

=====

No. 2
# KScTe2N

A crystal of KScTe2N relaxed with PBEsol (meta-GGA SCAN, Alexandria).

Cell: 3.9380 5.9035 5.9035 Å, 90.00 90.00 90.00°
With the nearest neighbours (Å) after each atom.
Fractional positions:
Sc1 0.0000 0.0000 0.0000  2 N 1.97
K1 0.5000 0.5000 0.5000  8 Te 3.55, 2 K 3.94
Te1 0.0000 0.0000 0.5000  2 Sc 2.95
Te2 0.0000 0.5000 0.0000  2 Sc 2.95
N1 0.5000 0.0000 0.0000  2 Sc 1.97

Values from the calculation:
energy above the most stable polymorph in this dataset: 0 meV/atom
formation energy without anion corrections: -0.399 eV per atom
SG: P4/mmm, No. 123
total moment: 1.71 Bohr magnetons per cell
crystal system: tetragonal
calculated density: 4.27 g/cm³

=====

No. 3
# Ir3W2

A crystal of Ir3W2 relaxed with PBEsol (meta-GGA SCAN, Alexandria).

Cell: 2.7450 2.7450 11.3502 Å, 83.05 83.05 60.00°
With the nearest neighbours (Å) after each atom.
Fractional positions:
Ir1 0.0000 0.0000 0.0000  6 Ir 2.74, 6 W 2.77
Ir2 0.7987 0.7987 0.6040  3 W 2.69, 9 Ir 2.74-2.82
Ir3 0.2013 0.2013 0.3960  3 W 2.69, 9 Ir 2.74-2.82
W1 0.5993 0.5993 0.2021  6 Ir 2.69-2.77, 6 W 2.74
W2 0.4007 0.4007 0.7979  6 Ir 2.69-2.77, 6 W 2.74

Values from the calculation:
DFT formation energy: -3.059 kcal/mol of atoms
SG: R-3m, No. 166
total moment: 0.00 Bohr magnetons per cell
crystal system: trigonal
calculated density: 21.38 g/cm³

=====

- Which of these has the lowest calculated density?
  KScTe2N